(1)
Material: TaCI2
Method: DFT, PBE-GGA
State: relaxed

```
data_TaCI2
_chemical_formula_sum 'Ta4 C4 I8'
_cell_length_a 6.395
_cell_length_b 6.395
_cell_length_c 10.050
_cell_angle_alpha 90.00
_cell_angle_beta 90.00
_cell_angle_gamma 90.00
_space_group_name_H-M_alt 'I -4 2 d'
_space_group_IT_number 122
_space_group_name_Hall 'I -4 2bw'
loop_
_atom_site_label
_atom_site_fract_x
_atom_site_fract_y
_atom_site_fract_z
Ta1 0.000 0.000 0.000
C1 0.000 0.000 0.500
I1 0.224 0.250 0.625
```

Summary:
DFT total energy (eV/cell): -64.27
ΔE_f (raw) (eV per atom): 2.028
M_tot (μB/cell): 0.00
ΔE to the lowest computed polymorph (eV per atom): 0.221
Fermi-level density of states (states/eV per cell): 16.1

---

(2)
Material: TaCI3
Method: DFT, PBE-GGA
State: relaxed

```
data_TaCI3
_chemical_formula_sum 'Ta1 C1 I3'
_cell_length_a 4.850
_cell_length_b 4.850
_cell_length_c 4.850
_cell_angle_alpha 90.00
_cell_angle_beta 90.00
_cell_angle_gamma 90.00
_space_group_name_H-M_alt 'P m -3 m'
_space_group_IT_number 221
_space_group_name_Hall '-P 4 2 3'
loop_
_atom_site_label
_atom_site_fract_x
_atom_site_fract_y
_atom_site_fract_z
Ta1 0.000 0.000 0.000
C1 0.500 0.500 0.500
I1 0.000 0.500 0.500
```

Summary:
DFT total energy (eV/cell): -16.52
ΔE_f (raw) (eV per atom): 1.842
M_tot (μB/cell): 0.00
ΔE to the lowest computed polymorph (eV per atom): 0.328
Fermi-level density of states (states/eV per cell): 4.9

---

(3)
Material: TaTeCI2
Method: DFT, PBE-GGA
State: relaxed

```
data_TaTeCI2
_chemical_formula_sum 'Ta1 Te1 C1 I2'
_cell_length_a 5.571
_cell_length_b 5.571
_cell_length_c 5.360
_cell_angle_alpha 90.00
_cell_angle_beta 90.00
_cell_angle_gamma 90.00
_space_group_name_H-M_alt 'P 4/m m m'
_space_group_IT_number 123
_space_group_name_Hall '-P 4 2'
loop_
_atom_site_label
_atom_site_fract_x
_atom_site_fract_y
_atom_site_fract_z
Ta1 0.000 0.000 0.000
Te1 0.000 0.000 0.500
C1 0.500 0.500 0.500
I1 0.000 0.500 0.000
```

Summary:
DFT total energy (eV/cell): -19.74
ΔE_f (raw) (eV per atom): 1.515
M_tot (μB/cell): 2.44
ΔE to the lowest computed polymorph (eV per atom): 0.000
Fermi-level density of states (states/eV per cell): 6.7

---

(4)
Material: TaTe2CI
Method: DFT, PBE-GGA
State: relaxed

```
data_TaTe2CI
_chemical_formula_sum 'Ta1 Te2 C1 I1'
_cell_length_a 5.369
_cell_length_b 5.369
_cell_length_c 5.627
_cell_angle_alpha 90.00
_cell_angle_beta 90.00
_cell_angle_gamma 90.00
_space_group_name_H-M_alt 'P 4/m m m'
_space_group_IT_number 123
_space_group_name_Hall '-P 4 2'
loop_
_atom_site_label
_atom_site_fract_x
_atom_site_fract_y
_atom_site_fract_z
Ta1 0.000 0.000 0.000
Te1 0.000 0.500 0.000
C1 0.500 0.500 0.500
I1 0.000 0.000 0.500
```

Summary:
DFT total energy (eV/cell): -21.33
ΔE_f (raw) (eV per atom): 1.517
M_tot (μB/cell): 2.26
ΔE to the lowest computed polymorph (eV per atom): 0.083
Fermi-level density of states (states/eV per cell): 5.3